Run i
Below is crystalline TiMnPCl2 at its relaxed geometry, with properties calculated at the GGA-PBE level.

Calculated values
Space-group type   P4/mmm (123)

Cell: 4.492 4.492 5.060 Å, 90.00 90.00 90.00°
Fractional positions:
Ti: 0.000 0.000 0.000
Mn: 0.500 0.500 0.500
P: 0.500 0.500 0.000
Cl: 0.000 0.500 0.500
Cl: 0.500 0.000 0.500

Run ii
Below is crystalline TiMnPCl2 at its relaxed geometry, with properties calculated at the GGA-PBE level.

Calculated values
Space-group type   P4/mmm (123)

Cell: 4.635 4.635 5.097 Å, 90.00 90.00 90.00°
Fractional positions:
Ti: 0.000 0.000 0.000
Mn: 0.500 0.500 0.500
P: 0.000 0.000 0.500
Cl: 0.000 0.500 0.000
Cl: 0.500 0.000 0.000

Which structure loses on stability? run i does.

Run i
Below is crystalline MnTlP2Cl at its relaxed geometry, with properties calculated at the GGA-PBE level.

Calculated values
Space-group type   P4/mmm (123)

Cell: 4.389 4.389 6.211 Å, 90.00 90.00 90.00°
Fractional positions:
Mn: 0.000 0.000 0.000
Tl: 0.500 0.500 0.500
P: 0.000 0.500 0.000
P: 0.500 0.000 0.000
Cl: 0.000 0.000 0.500

Run ii
Below is crystalline MnTlP2Cl at its relaxed geometry, with properties calculated at the GGA-PBE level.

Calculated values
Space-group type   P4/mmm (123)

Cell: 5.134 5.134 5.331 Å, 90.00 90.00 90.00°
Fractional positions:
Mn: 0.000 0.000 0.000
Tl: 0.500 0.500 0.500
P: 0.000 0.500 0.500
P: 0.500 0.000 0.500
Cl: 0.500 0.500 0.000

Which structure loses on stability? run ii does.

Run i
Below is crystalline MnVP2Cl at its relaxed geometry, with properties calculated at the GGA-PBE level.

Calculated values
Space-group type   P4/mmm (123)

Cell: 4.561 4.561 4.591 Å, 90.00 90.00 90.00°
Fractional positions:
Mn: 0.000 0.000 0.000
V: 0.500 0.500 0.500
P: 0.000 0.500 0.500
P: 0.500 0.000 0.500
Cl: 0.500 0.500 0.000

Run ii
Below is crystalline MnVP2Cl at its relaxed geometry, with properties calculated at the GGA-PBE level.

Calculated values
Space-group type   P4/mmm (123)

Cell: 4.408 4.408 4.688 Å, 90.00 90.00 90.00°
Fractional positions:
Mn: 0.000 0.000 0.000
V: 0.500 0.500 0.500
P: 0.000 0.500 0.000
P: 0.500 0.000 0.000
Cl: 0.000 0.000 0.500

Which structure loses on stability? run i does.